[1]
First-principles (PBE) data for crystalline Na2CaGe2 at its relaxed geometry, as listed in Alexandria via LeMat-Bulk.

abc: 8.596 8.596 3.172
angles: 90.00 90.00 90.00
Atoms (fractional coordinates):
Na: 0.885 0.615 0.000
Na: 0.115 0.385 0.000
Na: 0.385 0.885 0.000
Na: 0.615 0.115 0.000
Ca: 0.500 0.500 0.000
Ca: 0.000 0.000 0.000
Ge: 0.185 0.685 0.500
Ge: 0.685 0.815 0.500
Ge: 0.315 0.185 0.500
Ge: 0.815 0.315 0.500

Output
- polymorph energy (0 for the lowest one) (kJ/mol of formula units) = 92
- crystal system = tetragonal
- total magnetization (μB/f.u.) = 0.0
- formation enthalpy at 0 K (eV per formula unit) = -0.35

=====

[2]
First-principles (PBE) data for crystalline SrPr14Tm at its relaxed geometry, as listed in Alexandria via LeMat-Bulk.

abc: 7.469 7.469 10.468
angles: 90.00 90.00 90.00
Atoms (fractional coordinates):
Sr: 0.875 0.875 0.500
Pr: 0.618 0.618 0.753
Pr: 0.132 0.132 0.248
Pr: 0.375 0.875 0.000
Pr: 0.618 0.132 0.753
Pr: 0.375 0.875 0.500
Pr: 0.618 0.618 0.247
Pr: 0.132 0.618 0.247
Pr: 0.875 0.875 0.000
Pr: 0.375 0.375 0.000
Pr: 0.875 0.375 0.500
Pr: 0.132 0.618 0.753
Pr: 0.875 0.375 0.000
Pr: 0.132 0.132 0.752
Pr: 0.618 0.132 0.247
Tm: 0.375 0.375 0.500

Output
- crystal system = tetragonal
- total magnetization (μB/f.u.) = 0.0
- formation enthalpy at 0 K (eV per formula unit) = 0.65

=====

[3]
First-principles (PBE) data for crystalline Zn2FeRh at its relaxed geometry, as listed in Alexandria via LeMat-Bulk.

abc: 4.565 4.565 4.565
angles: 130.34 130.34 72.87
Last column: magnetic moment on the atom in μB.
Atoms (fractional coordinates):
Zn: 0.000 0.000 0.000  -0.04
Zn: 0.250 0.750 0.500  -0.04
Rh: 0.750 0.250 0.500  0.38
Fe: 0.500 0.500 0.000  2.73

Output
- crystal system = tetragonal
- total magnetization (μB/f.u.) = 3.0
- formation enthalpy at 0 K (eV per formula unit) = -0.59

=====

[4]
First-principles (PBE) data for crystalline Sc2SbPt2 at its relaxed geometry, as listed in Alexandria via LeMat-Bulk.

abc: 7.822 7.822 3.318
angles: 90.00 90.00 90.00
Atoms (fractional coordinates):
Pt: 0.130 0.630 0.500
Pt: 0.370 0.130 0.500
Pt: 0.630 0.870 0.500
Pt: 0.870 0.370 0.500
Sc: 0.345 0.845 0.000
Sc: 0.155 0.345 0.000
Sc: 0.845 0.655 0.000
Sc: 0.655 0.155 0.000
Sb: 0.500 0.500 0.000
Sb: 0.000 0.000 0.000

Output
- polymorph energy (0 for the lowest one) (kJ/mol of formula units) = 108
- crystal system = tetragonal
- total magnetization (μB/f.u.) = 0.0
- E_form (uncorrected) (eV per atom) = -0.856

=====

[5]
First-principles (PBE) data for crystalline Ta2CuBr at its relaxed geometry, as listed in Alexandria via LeMat-Bulk.

abc: 3.200 4.724 4.659
angles: 90.00 90.00 90.00
Atoms (fractional coordinates):
Ta: 0.500 0.500 0.000
Ta: 0.000 0.000 0.000
Cu: 0.000 0.500 0.500
Br: 0.500 0.000 0.500

Output
- polymorph energy (0 for the lowest one) (kJ/mol of formula units) = 152
- crystal system = orthorhombic
- total magnetization (μB/f.u.) = 0.0
- E_form (uncorrected) (eV per atom) = 0.663

=====

[6]
First-principles (PBE) data for crystalline NdMg2Cd7 at its relaxed geometry, as listed in Alexandria via LeMat-Bulk.

abc: 4.284 6.680 9.909
angles: 109.70 90.00 90.00
Atoms (fractional coordinates):
Cd: 0.500 0.087 0.759
Cd: 0.000 0.386 0.771
Cd: 0.500 0.913 0.241
Cd: 0.500 0.672 0.759
Cd: 0.500 0.500 0.000
Cd: 0.000 0.614 0.229
Cd: 0.500 0.328 0.241
Nd: 0.000 0.000 0.000
Mg: 0.500 0.740 0.480
Mg: 0.500 0.260 0.520

Output
- crystal system = orthorhombic
- total magnetization (μB/f.u.) = 0.0
- formation enthalpy at 0 K (eV per formula unit) = -0.11

=====

[7]
First-principles (PBE) data for crystalline Co2SiN at its relaxed geometry, as listed in Alexandria via LeMat-Bulk.

abc: 3.835 3.835 3.835
angles: 60.00 60.00 60.00
Last column: magnetic moment on the atom in μB.
Atoms (fractional coordinates):
Co: 0.750 0.750 0.750  1.08
Co: 0.250 0.250 0.250  1.08
N: 0.000 0.000 0.000  0.31
Si: 0.500 0.500 0.500  -0.04

Output
- polymorph energy (0 for the lowest one) (kJ/mol of formula units) = 194
- crystal system = cubic
- total magnetization (μB/f.u.) = 2.5
- E_form (uncorrected) (eV per atom) = 0.582

=====

[8]
First-principles (PBE) data for crystalline DyErTm2Rh4 at its relaxed geometry, as listed in Alexandria via LeMat-Bulk.

abc: 4.798 4.798 8.316
angles: 73.23 73.23 60.00
Atoms (fractional coordinates):
Er: 0.500 0.500 0.500
Rh: 0.625 0.625 0.126
Rh: 0.125 0.125 0.624
Rh: 0.875 0.875 0.376
Rh: 0.375 0.375 0.874
Tm: 0.250 0.250 0.251
Tm: 0.750 0.750 0.749
Dy: 0.000 0.000 0.000

Output
- crystal system = trigonal
- total magnetization (μB/f.u.) = 0.0
- formation enthalpy at 0 K (eV per formula unit) = -7.55

=====

Q: Look up the total magnetization of the fourth one.
A: 0.0 μB/f.u.

=====

Repeat the third record exactly.
First-principles (PBE) data for crystalline Zn2FeRh at its relaxed geometry, as listed in Alexandria via LeMat-Bulk.

abc: 4.565 4.565 4.565
angles: 130.34 130.34 72.87
Last column: magnetic moment on the atom in μB.
Atoms (fractional coordinates):
Zn: 0.000 0.000 0.000  -0.04
Zn: 0.250 0.750 0.500  -0.04
Rh: 0.750 0.250 0.500  0.38
Fe: 0.500 0.500 0.000  2.73

Output
- crystal system = tetragonal
- total magnetization (μB/f.u.) = 3.0
- formation enthalpy at 0 K (eV per formula unit) = -0.59

=====

Q: What is the formula in the sixth record?
A: NdMg2Cd7

=====

Please write out number 5 again, unchanged.
First-principles (PBE) data for crystalline Ta2CuBr at its relaxed geometry, as listed in Alexandria via LeMat-Bulk.

abc: 3.200 4.724 4.659
angles: 90.00 90.00 90.00
Atoms (fractional coordinates):
Ta: 0.500 0.500 0.000
Ta: 0.000 0.000 0.000
Cu: 0.000 0.500 0.500
Br: 0.500 0.000 0.500

Output
- polymorph energy (0 for the lowest one) (kJ/mol of formula units) = 152
- crystal system = orthorhombic
- total magnetization (μB/f.u.) = 0.0
- E_form (uncorrected) (eV per atom) = 0.663